A PBEsol-optimized structure of Ti3Mn3Te2O16, computed with SCAN.

Unit cell a=5.789 b=5.766 c=10.289 alpha=88.00 beta=90.00 gamma=120.13
Each line ends with the local moment (μB).
Atoms (fractional coordinates):
Ti (0.657, 0.828, 0.774)  0.02
Ti (0.171, 0.828, 0.774)  0.02
Ti (0.830, 0.659, 0.268)  0.04
Mn (0.173, 0.347, 0.789)  2.69
Mn (0.827, 0.172, 0.287)  2.73
Mn (0.345, 0.172, 0.287)  2.73
Te (0.329, 0.658, 0.485)  0.01
Te (0.661, 0.322, 0.989)  0.01
O (0.675, 0.836, 0.393)  0.02
O (0.488, 0.975, 0.675)  0.01
O (0.330, 0.661, 0.885)  0.03
O (0.010, 0.020, 0.698)  0.02
O (0.010, 0.020, 0.200)  0.04
O (0.161, 0.836, 0.393)  0.02
O (0.482, 0.509, 0.688)  0.06
O (0.026, 0.509, 0.688)  0.06
O (0.834, 0.667, 0.896)  0.01
O (0.161, 0.323, 0.389)  0.02
O (0.972, 0.482, 0.182)  0.06
O (0.509, 0.482, 0.182)  0.06
O (0.662, 0.325, 0.384)  0.04
O (0.837, 0.163, 0.892)  0.02
O (0.514, 0.028, 0.197)  0.10
O (0.326, 0.163, 0.892)  0.02

## Properties
E: -13.73 eV/atom
Space group: No. 8
Uncorrected formation energy: -2.186 eV/atom
Crystal system: monoclinic

***

A PBEsol-optimized structure of TiMn2O6, computed with SCAN.

Unit cell a=2.891 b=5.786 c=6.466 alpha=103.28 beta=102.92 gamma=90.00
Each line ends with the local moment (μB).
Atoms (fractional coordinates):
Mn (0.332, 0.165, 0.664)  2.82
Mn (0.668, 0.835, 0.336)  2.82
O (0.840, 0.383, 0.680)  0.04
O (0.178, 0.055, 0.357)  0.03
O (0.160, 0.617, 0.320)  0.04
O (0.513, 0.731, 0.027)  0.03
O (0.487, 0.269, 0.973)  0.03
O (0.822, 0.945, 0.643)  0.03
Ti (0.000, 0.500, 0.000)  0.04

## Properties
E: -12.39 eV/atom
N(E_F): 0.000 states/eV/cell
Space group: No. 12
Uncorrected formation energy: -2.396 eV/atom
Crystal system: monoclinic